# 1
The following is a GGA-PBEsol calculation of a relaxed structure of Sc2Mn12P7, from the Alexandria database.

Output
Total moment = 14.7 μB/f.u.
Uncorrected energy = -8.8833 eV per atom
Energy of formation = -0.746 eV per atom

a b c (Å): 3.5093 9.0315 9.0317
angles (deg): 120.00 90.00 90.00
Closest atoms and distances in Å follow each position.
Element x y z (fractional)
P1 0.0000 0.7105 0.1258  7 Mn 2.23-2.46
Mn1 0.5000 0.0442 0.6081  4 P 2.25-2.27
P2 0.5000 0.5861 0.7166  7 Mn 2.22-2.40
P3 0.0000 0.8741 0.5846  7 Mn 2.23-2.46
Mn2 0.5000 0.2221 0.0995  5 P 2.40-2.47, 5 Mn 2.63-2.69
Mn3 0.5000 0.9004 0.1225  5 P 2.40-2.47, 5 Mn 2.63-2.69
Sc1 0.0000 0.3333 0.6666  6 P 2.73, 9 Mn 2.97-3.04
Sc2 0.5000 0.6667 0.3333  6 P 2.74, 9 Mn 2.97-3.05
Mn4 0.0000 0.6221 0.5735  4 P 2.23-2.30, 1 Mn 2.45
Mn5 0.0000 0.1202 0.8411  4 P 2.19-2.27, 1 Mn 2.45
P4 0.5000 0.2833 0.8694  7 Mn 2.22-2.40
Mn6 0.5000 0.5639 0.9558  4 P 2.25-2.27
Mn7 0.0000 0.4265 0.0486  4 P 2.23-2.30, 1 Mn 2.45
P5 0.0000 0.0000 0.0000  3 Mn 2.19
P6 0.5000 0.1306 0.4139  7 Mn 2.22-2.40
Mn8 0.5000 0.8775 0.7779  5 P 2.40-2.47, 5 Mn 2.63-2.69
Mn9 0.0000 0.9514 0.3779  4 P 2.23-2.30, 1 Mn 2.45
Mn10 0.0000 0.1589 0.2791  4 P 2.19-2.27, 1 Mn 2.45
Mn11 0.5000 0.3919 0.4361  4 P 2.25-2.27
Mn12 0.0000 0.7209 0.8798  4 P 2.19-2.27, 1 Mn 2.45
P7 0.0000 0.4153 0.2894  7 Mn 2.23-2.46



# 2
The following is a GGA-PBEsol calculation of a relaxed structure of ScMnP2, from the Alexandria database.

Output
Total moment = 0.0 μB/f.u.
Uncorrected energy = -7.6135 eV per atom
Energy of formation = -0.626 eV per atom
Excess energy over the best structure of this formula in the dataset = 0.53 eV/f.u.

a b c (Å): 3.7297 4.3524 4.3524
angles (deg): 71.07 64.63 64.63
Closest atoms and distances in Å follow each position.
Element x y z (fractional)
Sc1 0.0000 0.5000 0.5000  8 P 2.59-2.81
Mn1 0.5000 0.0000 0.0000  4 P 2.23
P1 0.2017 0.7983 0.7983  2 Mn 2.23, 1 P 2.43
P2 0.7983 0.2017 0.2017  2 Mn 2.23, 1 P 2.43



# 3
The following is a GGA-PBEsol calculation of a relaxed structure of ScMn2P, from the Alexandria database.

Output
Total moment = 3.4 μB/f.u.
Uncorrected energy = -8.1987 eV per atom
Energy of formation = -0.219 eV per atom

a b c (Å): 3.6469 3.6469 4.6483
angles (deg): 113.10 113.10 90.00
Closest atoms and distances in Å follow each position.
Element x y z (fractional)
Mn1 0.7500 0.2500 0.5000  4 Sc 2.58, 4 Mn 2.66, 4 P 2.66
Sc1 0.2500 0.7500 0.5000  8 Mn 2.58-2.66, 4 P 2.66
Mn2 0.0000 0.0000 0.0000  4 P 2.58, 4 Mn 2.66, 4 Sc 2.66
P1 0.5000 0.5000 0.0000  8 Mn 2.58-2.66, 4 Sc 2.66